(1)
Density functional theory data (PBE) for a relaxed structure of AlNiTe2.

```
AlNiTe2
1.0
-1.906 1.906 6.494
1.906 -1.906 6.494
1.906 1.906 -6.494
Al Ni Te
1 1 2
direct
0.000 0.000 0.000 Al
0.250 0.750 0.500 Ni
0.500 0.500 0.000 Te
0.750 0.250 0.500 Te
```

Summary:
Formation energy (no corrections)   1.15 eV per formula unit
Space group   I-4m2, No. 119
Size of the total moment   0.3 μB per cell

(2)
Density functional theory data (PBE) for a relaxed structure of EuTlBi4.

```
EuTlBi4
1.0
0.000 4.699 4.699
4.699 0.000 4.699
4.699 4.699 0.000
Eu Tl Bi
1 1 4
direct
0.000 0.000 0.000 Eu
0.750 0.750 0.750 Tl
0.376 0.376 0.376 Bi
0.376 0.376 0.872 Bi
0.376 0.872 0.376 Bi
0.872 0.376 0.376 Bi
```

Summary:
Space group   F-43m, No. 216
Energy of formation   -17.81 kJ per mole of atoms
Size of the total moment   7.1 μB per cell

(3)
Density functional theory data (PBE) for a relaxed structure of SrInAg2F8.

```
SrInAg2F8
1.0
4.335 0.000 0.000
-0.134 5.583 0.000
-0.009 -0.570 7.626
Sr In Ag F
1 1 2 8
direct
0.000 0.000 0.000 Sr
0.000 0.000 0.500 In
0.476 0.492 0.747 Ag
0.524 0.508 0.253 Ag
0.087 0.772 0.268 F
0.087 0.774 0.707 F
0.406 0.227 0.514 F
0.475 0.254 0.019 F
0.525 0.746 0.981 F
0.594 0.773 0.486 F
0.913 0.226 0.293 F
0.913 0.228 0.732 F
```

Summary:
Formation energy (no corrections)   -26.99 eV per formula unit
Space group   P-1, No. 2
Size of the total moment   1.0 μB per cell

(4)
Density functional theory data (PBE) for a relaxed structure of MnIn3Mo.

```
MnIn3Mo
1.0
5.265 0.000 0.000
0.000 5.265 0.000
0.000 0.000 5.265
Mn In Mo
1 3 1
direct
0.000 0.000 0.000 Mn
0.000 0.500 0.500 In
0.500 0.000 0.500 In
0.500 0.500 0.000 In
0.500 0.500 0.500 Mo
```

Summary:
Space group   Pm-3m, No. 221
Energy of formation   87.88 kJ per mole of atoms
Size of the total moment   5.9 μB per cell

(5)
Density functional theory data (PBE) for a relaxed structure of Th4InGa.

```
Th4InGa
1.0
7.674 0.000 0.000
0.000 7.674 0.000
0.000 0.000 5.961
Th In Ga
8 2 2
direct
0.148 0.336 0.000 Th
0.148 0.664 0.500 Th
0.336 0.148 0.500 Th
0.336 0.852 0.000 Th
0.664 0.148 0.000 Th
0.664 0.852 0.500 Th
0.852 0.336 0.500 Th
0.852 0.664 0.000 Th
0.500 0.500 0.250 In
0.500 0.500 0.750 In
0.000 0.000 0.250 Ga
0.000 0.000 0.750 Ga
```

Summary:
Space group   P4/mcc, No. 124
Energy of formation   -25.94 kJ per mole of atoms
Size of the total moment   0.0 μB per cell

(6)
Density functional theory data (PBE) for a relaxed structure of TcHgTe.

```
TcHgTe
1.0
0.000 3.242 3.242
3.242 0.000 3.242
3.242 3.242 0.000
Tc Hg Te
1 1 1
direct
0.000 0.000 0.000 Tc
0.750 0.750 0.750 Hg
0.250 0.250 0.250 Te
```

Summary:
Formation energy (no corrections)   1.46 eV per formula unit
Space group   F-43m, No. 216
Size of the total moment   0.0 μB per cell

(7)
Density functional theory data (PBE) for a relaxed structure of La6IrPt2N.

```
La6IrPt2N
1.0
6.884 0.000 0.000
0.000 7.573 0.000
-6.656 0.000 10.464
La Ir Pt N
12 2 4 2
direct
0.100 0.196 0.438 La
0.100 0.304 0.938 La
0.238 0.671 0.432 La
0.238 0.829 0.932 La
0.372 0.042 0.239 La
0.372 0.458 0.739 La
0.628 0.542 0.261 La
0.628 0.958 0.761 La
0.762 0.171 0.068 La
0.762 0.329 0.568 La
0.900 0.696 0.062 La
0.900 0.804 0.562 La
0.500 0.000 0.500 Ir
0.500 0.500 0.000 Ir
0.192 0.102 0.740 Pt
0.192 0.398 0.240 Pt
0.808 0.602 0.760 Pt
0.808 0.898 0.260 Pt
0.000 0.000 0.000 N
0.000 0.500 0.500 N
```

Summary:
Formation energy (no corrections)   -9.21 eV per formula unit
Space group   P2_1/c, No. 14
Size of the total moment   0.0 μB per cell

(8)
Density functional theory data (PBE) for a relaxed structure of Pr2ScAu.

```
Pr2ScAu
1.0
3.821 0.000 0.000
0.000 3.821 0.000
0.000 0.000 7.744
Pr Sc Au
2 1 1
direct
0.000 0.000 0.230 Pr
0.000 0.000 0.770 Pr
0.500 0.500 0.500 Sc
0.500 0.500 0.000 Au
```

Summary:
Space group   P4/mmm, No. 123
Energy of formation   -30.30 kJ per mole of atoms
Size of the total moment   0.0 μB per cell

(9)
Density functional theory data (PBE) for a relaxed structure of La2ErTi.

```
La2ErTi
1.0
1.759 1.016 10.912
-1.759 1.016 10.912
0.000 -2.031 10.912
La Er Ti
2 1 1
direct
0.242 0.242 0.242 La
0.758 0.758 0.758 La
0.000 0.000 0.000 Er
0.500 0.500 0.500 Ti
```

Summary:
Space group   R-3m, No. 166
Energy of formation   23.83 kJ per mole of atoms
Size of the total moment   0.0 μB per cell

(10)
Density functional theory data (PBE) for a relaxed structure of NaTe2Ir2.

```
NaTe2Ir2
1.0
-2.496 2.496 4.569
2.496 -2.496 4.569
2.496 2.496 -4.569
Na Te Ir
1 2 2
direct
0.000 0.000 0.000 Na
0.250 0.750 0.500 Te
0.750 0.250 0.500 Te
0.356 0.356 0.000 Ir
0.644 0.644 0.000 Ir
```

Summary:
Formation energy (no corrections)   -0.04 eV per formula unit
Space group   I4/mmm, No. 139
Size of the total moment   0.0 μB per cell

(11)
Density functional theory data (PBE) for a relaxed structure of Ba2NaP.

```
Ba2NaP
1.0
2.283 1.318 11.741
-2.283 1.318 11.741
0.000 -2.636 11.741
Ba Na P
2 1 1
direct
0.117 0.117 0.117 Ba
0.883 0.883 0.883 Ba
0.000 0.000 0.000 Na
0.500 0.500 0.500 P
```

Summary:
Space group   R-3m, No. 166
Energy of formation   -52.13 kJ per mole of atoms
Size of the total moment   0.0 μB per cell

(12)
Density functional theory data (PBE) for a relaxed structure of Na3Tb3TmSe8.

```
Na3Tb3TmSe8
1.0
4.124 2.381 7.064
-4.124 2.381 7.064
0.000 -4.762 7.064
Na Tb Tm Se
3 3 1 8
direct
0.000 0.500 0.500 Na
0.500 0.000 0.500 Na
0.500 0.500 0.000 Na
0.000 0.000 0.500 Tb
0.000 0.500 0.000 Tb
0.500 0.000 0.000 Tb
0.500 0.500 0.500 Tm
0.244 0.244 0.244 Se
0.246 0.740 0.740 Se
0.260 0.260 0.754 Se
0.260 0.754 0.260 Se
0.740 0.246 0.740 Se
0.740 0.740 0.246 Se
0.754 0.260 0.260 Se
0.756 0.756 0.756 Se
```

Summary:
Formation energy (no corrections)   -24.35 eV per formula unit
Space group   R-3m, No. 166
Size of the total moment   0.0 μB per cell